A PBEsol-optimized structure of Be2CoNi, computed with SCAN.

Summary:
The total magnetic moment comes out at 0.0 μB/cell. The value obtained for the offset from the most stable computed form is 0.299 eV/atom. The formation enthalpy at 0 K is -0.1670 eV per atom. Its density of states at the Fermi level is 0.7502 states/eV/atom.

Lattice parameters (Å, degrees): 2.5877 2.5877 5.2067 90.00 90.00 90.00
Fractional coordinates of all 4 atoms:
Ni (0.5000, 0.5000, 0.7765)
Co (0.0000, 0.0000, 0.4689)
Be (0.0000, 0.0000, 0.0118)
Be (0.5000, 0.5000, 0.2428)

A PBEsol-optimized structure of BeCo2Ni, computed with SCAN.

Summary:
The total magnetic moment comes out at 3.6 μB/cell. The formation enthalpy at 0 K is -0.1808 eV per atom. Its density of states at the Fermi level is 0.4840 states/eV/atom.

Lattice parameters (Å, degrees): 2.4889 2.4889 6.0941 90.00 90.00 90.00
Last column: magnetic moment on the atom in μB.
Fractional coordinates of all 4 atoms:
Ni (0.0000, 0.0000, 0.5276)  0.43
Co (0.0000, 0.0000, 0.9780)  1.40
Co (0.5000, 0.5000, 0.2431)  1.93
Be (0.5000, 0.5000, 0.7513)  -0.04

A PBEsol-optimized structure of BeCoNi, computed with SCAN.

Summary:
The total magnetic moment comes out at 2.0 μB/cell. The formation enthalpy at 0 K is -0.1483 eV per atom. Its density of states at the Fermi level is 0.7011 states/eV/atom.

Lattice parameters (Å, degrees): 2.3668 3.7188 3.7188 120.00 90.00 90.00
Last column: magnetic moment on the atom in μB.
Fractional coordinates of all 3 atoms:
Ni (0.2619, 0.3333, 0.6667)  0.42
Co (0.7015, 0.6667, 0.3333)  1.64
Be (0.0366, 0.0000, 0.0000)  -0.04

A PBEsol-optimized structure of Be2CoNi, computed with SCAN.

Summary:
The total magnetic moment comes out at 0.0 μB/cell. The value obtained for the offset from the most stable computed form is 0.000 eV/atom. The formation enthalpy at 0 K is -0.4656 eV per atom. Its density of states at the Fermi level is 0.3686 states/eV/atom.

Lattice parameters (Å, degrees): 3.6340 3.6340 3.6340 60.00 60.00 60.00
Fractional coordinates of all 4 atoms:
Ni (0.5000, 0.5000, 0.5000)
Co (0.0000, 0.0000, 0.0000)
Be (0.2500, 0.2500, 0.2500)
Be (0.7500, 0.7500, 0.7500)

A PBEsol-optimized structure of BeCoO2, computed with SCAN.

Summary:
The total magnetic moment comes out at 3.0 μB/cell. For the formation energy from raw total energies, the calculation gives -1.63 eV per atom.

Lattice parameters (Å, degrees): 3.0154 3.0154 5.4170 73.84 73.84 60.00
Last column: magnetic moment on the atom in μB.
Fractional coordinates of all 4 atoms:
Be (0.0000, 0.0000, 0.0000)  0.03
Co (0.5000, 0.5000, 0.5000)  2.66
O (0.9062, 0.9062, 0.2815)  0.11
O (0.0938, 0.0938, 0.7185)  0.11

A PBEsol-optimized structure of BeCo2O4, computed with SCAN.

Summary:
The total magnetic moment comes out at 0.0 μB/cell. The value obtained for the offset from the most stable computed form is 0.092 eV/atom. Its density of states at the Fermi level is 0.0000 states/eV/atom. For the formation energy from raw total energies, the calculation gives -1.84 eV per atom.

Lattice parameters (Å, degrees): 2.8546 8.8855 9.1377 90.00 90.00 90.00
Fractional coordinates of all 28 atoms:
Be (0.2500, 0.3566, 0.1046)
Be (0.7500, 0.1434, 0.6046)
Be (0.2500, 0.8566, 0.3954)
Be (0.7500, 0.6434, 0.8954)
Co (0.2500, 0.3690, 0.7944)
Co (0.2500, 0.3831, 0.4273)
Co (0.7500, 0.1169, 0.9273)
Co (0.7500, 0.1310, 0.2944)
Co (0.2500, 0.8690, 0.7056)
Co (0.2500, 0.8831, 0.0727)
Co (0.7500, 0.6169, 0.5727)
Co (0.7500, 0.6310, 0.2056)
O (0.2500, 0.4820, 0.6148)
O (0.2500, 0.5260, 0.1245)
O (0.7500, 0.2332, 0.7480)
O (0.2500, 0.2522, 0.9681)
O (0.7500, 0.2478, 0.4681)
O (0.2500, 0.2668, 0.2480)
O (0.7500, 0.9740, 0.6245)
O (0.7500, 0.0180, 0.1148)
O (0.2500, 0.9820, 0.8852)
O (0.2500, 0.0260, 0.3755)
O (0.7500, 0.7332, 0.7520)
O (0.2500, 0.7522, 0.5319)
O (0.7500, 0.7478, 0.0319)
O (0.2500, 0.7668, 0.2520)
O (0.7500, 0.4740, 0.8755)
O (0.7500, 0.5180, 0.3852)